The following is a PBE+U calculation of a relaxed structure of V3Ag2O8, from the Alexandria database.

POSCAR file:
```
V3Ag2O8
1.0
5.956 -3.012 0.000
5.956 3.012 0.000
-1.600 0.000 4.710
V Ag O
3 2 8
Direct
0.000 0.000 0.000
0.278 0.722 0.500
0.742 0.258 0.500
0.286 0.290 0.814
0.710 0.714 0.186
0.091 0.095 0.750
0.127 0.696 0.746
0.304 0.873 0.254
0.385 0.419 0.301
0.581 0.615 0.699
0.685 0.141 0.749
0.859 0.315 0.251
0.905 0.909 0.250
```

uncorrected energy = -6.626 eV/atom
M_tot = 0.971 Bohr magnetons per cell